[1]
This record from the Alexandria database describes an optimized crystal structure of MgBeRe2. The functional is PBE-GGA.

total magnetization: 0.00 μB/cell
formation energy: 0.9 eV per formula unit

Cell: 8.912 8.912 8.912 Å, 18.11 18.11 18.11°
Fractional positions:
Re (0.993, 0.993, 0.993)
Re (0.247, 0.247, 0.247)
Mg (0.752, 0.752, 0.752)
Be (0.508, 0.508, 0.508)


[2]
This record from the Alexandria database describes an optimized crystal structure of ReNiMo2H. The functional is PBE-GGA.

total magnetization: 0.00 μB/cell

Cell: 3.931 3.931 3.892 Å, 90.00 90.00 90.00°
Fractional positions:
Re (0.000, 0.000, 0.500)
Mo (0.000, 0.500, 0.000)
Mo (0.500, 0.000, 0.000)
H (0.000, 0.000, 0.000)
Ni (0.500, 0.500, 0.500)


Relative energy among the computed polymorphs for the records above, in order: 179; 75 meV per atom
E_tot for the records above, in order: -29.30; -42.74 eV/f.u.